Entry 1:
H2SBr | the Alexandria database | GGA-PBE | optimized geometry; E above lowest polymorph = 1515.6 meV per atom
1.0
5.6861 0.0000 0.0000
0.0000 5.6861 0.0000
0.0000 0.0000 5.6861
H S Br
8 4 4
Direct
0.2500 0.2500 0.2500
0.2500 0.2500 0.7500
0.2500 0.7500 0.2500
0.2500 0.7500 0.7500
0.7500 0.2500 0.2500
0.7500 0.2500 0.7500
0.7500 0.7500 0.2500
0.7500 0.7500 0.7500
0.0000 0.0000 0.0000
0.0000 0.5000 0.5000
0.5000 0.0000 0.5000
0.5000 0.5000 0.0000
0.0000 0.0000 0.5000
0.0000 0.5000 0.0000
0.5000 0.0000 0.0000
0.5000 0.5000 0.5000

Entry 2:
InRe2Mo | the Alexandria database | GGA-PBE | optimized geometry; energy of formation from the pure elements = 44 kJ/mol of atoms
1.0
2.8241 0.0000 0.0000
0.0000 4.3553 0.0000
-1.2995 0.0000 5.3557
In Re Mo
1 2 1
Direct
0.0000 0.0000 0.0000
0.4324 0.5000 0.7412
0.5676 0.5000 0.2588
0.0000 0.0000 0.5000

Entry 3:
MgIn2Ru | the Alexandria database | GGA-PBE | optimized geometry; energy of formation from the pure elements = 0 kJ/mol of atoms
1.0
4.1040 0.0000 0.0000
0.0000 4.1040 0.0000
0.0000 0.0000 8.8670
Mg In Ru
2 4 2
Direct
0.0000 0.0000 0.0000
0.5000 0.5000 0.5000
0.0000 0.0000 0.5000
0.0000 0.5000 0.7500
0.5000 0.0000 0.2500
0.5000 0.5000 0.0000
0.0000 0.5000 0.2500
0.5000 0.0000 0.7500

no.,energy (eV/f.u.)
1,-6.87
2,-36.65
3,-16.37